# 1
Entry from Alexandria via LeMat-Bulk: a geometry-optimized Ho5Sn2Ge2 structure (PBE).

Cell: 8.5540 8.5540 7.8688 Å, 90.00 90.00 54.99°
Fractional coordinates of all 18 atoms:
Ho 0.0000 0.0000 0.0000
Ho 0.0407 0.7023 0.6681
Ho 0.2023 0.5407 0.1681
Ho 0.2977 0.9593 0.6681
Ho 0.4593 0.7977 0.1681
Ho 0.5000 0.5000 0.5000
Ho 0.5407 0.2023 0.8319
Ho 0.7023 0.0407 0.3319
Ho 0.7977 0.4593 0.8319
Ho 0.9593 0.2977 0.3319
Sn 0.2096 0.2096 0.0000
Sn 0.2904 0.2904 0.5000
Sn 0.7096 0.7096 0.5000
Sn 0.7904 0.7904 0.0000
Ge 0.1356 0.8644 0.3640
Ge 0.3644 0.6356 0.8640
Ge 0.6356 0.3644 0.1360
Ge 0.8644 0.1356 0.6360

## Properties
Raw total energy = -5.24 eV per atom
Space group = Cmce (64)
DOS(E_F) = 4.79 states/eV/f.u.



# 2
Entry from Alexandria via LeMat-Bulk: a geometry-optimized Ho8Sn2Ge structure (PBE).

Cell: 10.0052 10.0052 6.6832 Å, 103.64 103.64 28.71°
Fractional coordinates of all 11 atoms:
Ho 0.0228 0.0228 0.2763
Ho 0.2195 0.2195 0.8230
Ho 0.3480 0.3480 0.4972
Ho 0.4099 0.4099 0.0337
Ho 0.5901 0.5901 0.9663
Ho 0.6520 0.6520 0.5028
Ho 0.7805 0.7805 0.1770
Ho 0.9772 0.9772 0.7237
Sn 0.1816 0.1816 0.2598
Sn 0.8184 0.8184 0.7402
Ge 0.5000 0.5000 0.5000

## Properties
Raw total energy = -4.89 eV per atom
Space group = C2/m (12)
DOS(E_F) = 10.64 states/eV/f.u.